No. 1
Here is SrMnIn after structural relaxation from Alexandria via LeMat-Bulk. Energies are from GGA-PBE.

It has space group P-6m2 (No. 187), with a = 4.9604 Å, b = 4.9604 Å, c = 3.9901 Å, α = 90.00°, β = 90.00° and γ = 120.00°. Symmetry generates all atoms from Sr at (0.0000, 0.0000, 0.0000), Mn at (0.3333, 0.6667, 0.5000) and In at (0.6667, 0.3333, 0.5000).

Its formation energy from the elements is 8.0 kJ/mol of atoms.

No. 2
Here is SrMnIn2 after structural relaxation from Alexandria via LeMat-Bulk. Energies are from GGA-PBE.

It has space group P4mm (No. 99), with a = 3.782 Å, b = 3.782 Å, c = 7.627 Å, α = 90.00°, β = 90.00° and γ = 90.00°. Symmetry generates all atoms from Sr at (0.000, 0.000, 0.000), Mn at (0.500, 0.500, 0.693), In at (0.000, 0.000, 0.550) and In at (0.500, 0.500, 0.306).

Its formation energy from the elements is 12.2 kJ/mol of atoms.

No. 3
Here is Sr2MnIn after structural relaxation from Alexandria via LeMat-Bulk. Energies are from GGA-PBE.

It has space group Amm2 (No. 38), with a = 4.807 Å, b = 4.879 Å, c = 11.937 Å, α = 90.00°, β = 90.00° and γ = 90.00°. Symmetry generates all atoms from Sr at (0.000, 0.000, 0.000), Sr at (0.500, 0.000, 0.289), Mn at (0.500, 0.000, 0.592) and In at (0.000, 0.000, 0.704).

Its formation energy from the elements is 6.4 kJ/mol of atoms.

No. 4
Here is Sr2MnIn after structural relaxation from Alexandria via LeMat-Bulk. Energies are from GGA-PBE.

It has space group I-42d (No. 122), with a = 11.298 Å, b = 11.298 Å, c = 5.175 Å, α = 90.00°, β = 90.00° and γ = 90.00°. Symmetry generates all atoms from Sr at (0.090, 0.250, 0.125), Mn at (0.000, 0.000, 0.000) and In at (0.000, 0.000, 0.500).

Its formation energy from the elements is 35.5 kJ/mol of atoms.

No. 5
Here is Sr2MnIn after structural relaxation from Alexandria via LeMat-Bulk. Energies are from GGA-PBE.

It has space group F-43m (No. 216), with a = 7.759 Å, b = 7.759 Å, c = 7.759 Å, α = 90.00°, β = 90.00° and γ = 90.00°. Symmetry generates all atoms from Sr at (0.000, 0.000, 0.000), Sr at (0.250, 0.250, 0.250), Mn at (0.000, 0.000, 0.500) and In at (0.250, 0.250, 0.750).

Its formation energy from the elements is 19.1 kJ/mol of atoms.

No. 6
Here is SrMn3In after structural relaxation from Alexandria via LeMat-Bulk. Energies are from GGA-PBE.

It has space group Pm-3m (No. 221), with a = 5.170 Å, b = 5.170 Å, c = 5.170 Å, α = 90.00°, β = 90.00° and γ = 90.00°. Symmetry generates all atoms from Sr at (0.000, 0.000, 0.000), Mn at (0.000, 0.500, 0.500) and In at (0.500, 0.500, 0.500).

Its formation energy from the elements is 80.3 kJ/mol of atoms.

No. 7
Here is SrMn2In after structural relaxation from Alexandria via LeMat-Bulk. Energies are from GGA-PBE.

It has space group P4/mmm (No. 123), with a = 4.672 Å, b = 4.672 Å, c = 4.392 Å, α = 90.00°, β = 90.00° and γ = 90.00°. Symmetry generates all atoms from Sr at (0.000, 0.000, 0.000), Mn at (0.000, 0.500, 0.500) and In at (0.500, 0.500, 0.000).

Its formation energy from the elements is 46.8 kJ/mol of atoms.

No. 8
Here is SrMnIn after structural relaxation from Alexandria via LeMat-Bulk. Energies are from GGA-PBE.

It has space group I4mm (No. 107), with a = 3.702 Å, b = 3.702 Å, c = 11.876 Å, α = 90.00°, β = 90.00° and γ = 90.00°. Symmetry generates all atoms from Sr at (0.000, 0.000, 0.000), Mn at (0.000, 0.000, 0.298) and In at (0.000, 0.000, 0.703).

Its formation energy from the elements is 15.2 kJ/mol of atoms.

No. 9
Here is SrMnIn after structural relaxation from Alexandria via LeMat-Bulk. Energies are from GGA-PBE.

It has space group F-43m (No. 216), with a = 7.459 Å, b = 7.459 Å, c = 7.459 Å, α = 90.00°, β = 90.00° and γ = 90.00°. Symmetry generates all atoms from Sr at (0.000, 0.000, 0.000), Mn at (0.250, 0.250, 0.250) and In at (0.250, 0.250, 0.750).

Its formation energy from the elements is 73.9 kJ/mol of atoms.

No. 10
Here is SrMn2In after structural relaxation from Alexandria via LeMat-Bulk. Energies are from GGA-PBE.

It has space group Cm (No. 8), with a = 9.336 Å, b = 3.577 Å, c = 6.200 Å, α = 90.00°, β = 103.29° and γ = 90.00°. Symmetry generates all atoms from Sr at (0.000, 0.000, 0.000), Mn at (0.003, 0.500, 0.526), Mn at (0.227, 0.000, 0.673) and In at (0.271, 0.500, 0.352).

Its formation energy from the elements is 41.5 kJ/mol of atoms.

No. 11
Here is SrMnIn2 after structural relaxation from Alexandria via LeMat-Bulk. Energies are from GGA-PBE.

It has space group P4/mmm (No. 123), with a = 3.577 Å, b = 3.577 Å, c = 7.851 Å, α = 90.00°, β = 90.00° and γ = 90.00°. Symmetry generates all atoms from Sr at (0.000, 0.000, 0.000), Mn at (0.000, 0.000, 0.500) and In at (0.500, 0.500, 0.304).

Its formation energy from the elements is -5.0 kJ/mol of atoms.

No. 12
Here is SrMnIn2 after structural relaxation from Alexandria via LeMat-Bulk. Energies are from GGA-PBE.

It has space group P4/mmm (No. 123), with a = 4.685 Å, b = 4.685 Å, c = 4.794 Å, α = 90.00°, β = 90.00° and γ = 90.00°. Symmetry generates all atoms from Sr at (0.000, 0.000, 0.000), Mn at (0.500, 0.500, 0.000) and In at (0.000, 0.500, 0.500).

Its formation energy from the elements is 8.2 kJ/mol of atoms.

No. 13
Here is SrMn2In after structural relaxation from Alexandria via LeMat-Bulk. Energies are from GGA-PBE.

It has space group I4_1/amd (No. 141, origin choice 2), with a = 4.957 Å, b = 4.957 Å, c = 19.141 Å, α = 90.00°, β = 90.00° and γ = 90.00°. Symmetry generates all atoms from Sr at (0.000, 0.250, 0.375), Mn at (0.000, 0.000, 0.000) and In at (0.000, 0.250, 0.875).

Its formation energy from the elements is 55.2 kJ/mol of atoms.

No. 14
Here is SrMn2In after structural relaxation from Alexandria via LeMat-Bulk. Energies are from GGA-PBE.

It has space group P2/m (No. 10), with a = 3.248 Å, b = 4.699 Å, c = 6.499 Å, α = 90.00°, β = 100.75° and γ = 90.00°. Symmetry generates all atoms from Sr at (0.000, 0.000, 0.000), Mn at (0.299, 0.500, 0.680) and In at (0.500, 0.000, 0.500).

Its formation energy from the elements is 45.0 kJ/mol of atoms.

No. 15
Here is SrMnIn2 after structural relaxation from Alexandria via LeMat-Bulk. Energies are from GGA-PBE.

It has space group R-3m (No. 166, hexagonal axes), with a = 3.7341 Å, b = 3.7341 Å, c = 27.6700 Å, α = 90.00°, β = 90.00° and γ = 120.00°. Symmetry generates all atoms from Sr at (0.0000, 0.0000, 0.0000), Mn at (0.0000, 0.0000, 0.5000) and In at (0.0000, 0.0000, 0.2352).

Its formation energy from the elements is 16.5 kJ/mol of atoms.

No. 16
Here is SrMnIn2 after structural relaxation from Alexandria via LeMat-Bulk. Energies are from GGA-PBE.

It has space group Pm (No. 6), with a = 3.520 Å, b = 4.498 Å, c = 6.974 Å, α = 90.00°, β = 90.12° and γ = 90.00°. Symmetry generates all atoms from Sr at (0.000, 0.000, 0.000), Mn at (0.003, 0.500, 0.594), In at (0.501, 0.500, 0.264) and In at (0.502, 0.000, 0.560).

Its formation energy from the elements is 7.7 kJ/mol of atoms.

No. 17
Here is SrMn2In after structural relaxation from Alexandria via LeMat-Bulk. Energies are from GGA-PBE.

It has space group P4mm (No. 99), with a = 3.434 Å, b = 3.434 Å, c = 7.757 Å, α = 90.00°, β = 90.00° and γ = 90.00°. Symmetry generates all atoms from Sr at (0.000, 0.000, 0.000), Mn at (0.000, 0.000, 0.464), Mn at (0.500, 0.500, 0.300) and In at (0.500, 0.500, 0.672).

Its formation energy from the elements is 30.5 kJ/mol of atoms.

No. 18
Here is SrMn2In after structural relaxation from Alexandria via LeMat-Bulk. Energies are from GGA-PBE.

It has space group I-4m2 (No. 119), with a = 5.141 Å, b = 5.141 Å, c = 7.228 Å, α = 90.00°, β = 90.00° and γ = 90.00°. Symmetry generates all atoms from Sr at (0.000, 0.000, 0.000), Mn at (0.000, 0.000, 0.500), Mn at (0.000, 0.500, 0.750) and In at (0.000, 0.500, 0.250).

Its formation energy from the elements is 45.0 kJ/mol of atoms.

No. 19
Here is Sr2MnInTe5 after structural relaxation from Alexandria via LeMat-Bulk. Energies are from GGA-PBE.

It has space group Cmc2_1 (No. 36), with a = 4.355 Å, b = 20.547 Å, c = 13.838 Å, α = 90.00°, β = 90.00° and γ = 90.00°. Symmetry generates all atoms from Sr at (0.000, 0.100, 0.000), Sr at (0.000, 0.124, 0.649), Mn at (0.000, 0.240, 0.394), In at (0.000, 0.423, 0.798), Te at (0.000, 0.056, 0.422), Te at (0.000, 0.265, 0.026), Te at (0.000, 0.285, 0.770), Te at (0.000, 0.368, 0.333) and Te at (0.000, 0.491, 0.624).

The calculation puts the energy relative to the elements, uncorrected at -81 kJ/mol of atoms.

No. 20
Here is Sr2MnZnIn after structural relaxation from Alexandria via LeMat-Bulk. Energies are from GGA-PBE.

It has space group P4/mmm (No. 123), with a = 6.330 Å, b = 6.330 Å, c = 5.099 Å, α = 90.00°, β = 90.00° and γ = 90.00°. Symmetry generates all atoms from Sr at (0.000, 0.500, 0.000), Mn at (0.000, 0.000, 0.500), Zn at (0.500, 0.500, 0.500) and In at (0.000, 0.000, 0.000).

Its formation energy from the elements is 41.0 kJ/mol of atoms.